VASP calculation (PBE) on crystalline CaDyBeN2 at its relaxed geometry.

```
10
Lattice="5.0188 0.0000 0.0000 0.0000 5.1470 0.0000 0.0000 0.0000 6.5304" Properties=species:S:1:pos:R:3 pbc="T T T"
Ca 0.0000 0.0000 1.6326
Ca 0.0000 0.0000 4.8978
Dy 2.5094 2.5735 1.6326
Dy 2.5094 2.5735 4.8978
Be 2.5094 0.0000 0.0000
Be 2.5094 0.0000 3.2652
N 1.5340 1.2061 0.0000
N 1.5340 3.9410 3.2652
N 3.4848 1.2061 3.2652
N 3.4848 3.9410 0.0000
```

Total energy in eV per atom: -6.29
Formation energy without anion corrections in eV per atom: -0.890
Volume in Å³ per cell: 168.69
Mass density in g/cm³: 4.72